A plane-wave DFT calculation with PBE was carried out for crystalline ThSi4Ir12 at its relaxed geometry.

The structure in POSCAR format:
```
ThSi4Ir12
1.0
-4.1587 4.1587 4.1587
4.1587 -4.1587 4.1587
4.1587 4.1587 -4.1587
Th Si Ir
1 4 12
Direct
0.0000 0.0000 0.0000
0.0000 0.0000 0.5000
0.0000 0.5000 0.0000
0.5000 0.0000 0.0000
0.5000 0.5000 0.5000
0.1533 0.3433 0.4966
0.1533 0.6567 0.8100
0.1900 0.8467 0.3433
0.3433 0.1900 0.8467
0.3433 0.4966 0.1533
0.4966 0.1533 0.3433
0.5034 0.8467 0.6567
0.6567 0.5034 0.8467
0.6567 0.8100 0.1533
0.8100 0.1533 0.6567
0.8467 0.3433 0.1900
0.8467 0.6567 0.5034
```

## Properties
- M_tot (μB per cell) = 0.0
- formation energy from raw total energies (eV/atom) = 0.10

=====

A plane-wave DFT calculation with PBE was carried out for crystalline SbOs2Au at its relaxed geometry.

The structure in POSCAR format:
```
SbOs2Au
1.0
9.2483 0.0000 0.0000
0.0000 3.0089 0.0000
-0.8559 0.0000 4.9508
Sb Os Au
2 4 2
Direct
0.0000 0.0000 0.0000
0.5000 0.5000 0.0000
0.2492 0.5000 0.2642
0.4844 0.0000 0.4535
0.7492 0.0000 0.2642
0.9844 0.5000 0.4535
0.2360 0.0000 0.7256
0.7360 0.5000 0.7256
```

## Properties
- M_tot (μB per cell) = 0.0
- formation energy from raw total energies (eV/atom) = 0.69

=====

A plane-wave DFT calculation with PBE was carried out for crystalline LaH6IrPt at its relaxed geometry.

The structure in POSCAR format:
```
LaH6IrPt
1.0
4.9099 0.0000 0.0000
-2.4549 4.2521 0.0000
0.0000 0.0000 4.2467
La H Ir Pt
1 6 1 1
Direct
0.0000 0.0000 0.0000
0.5084 0.0169 0.2384
0.5084 0.0169 0.7616
0.5084 0.4916 0.2384
0.5084 0.4916 0.7616
0.9831 0.4916 0.2384
0.9831 0.4916 0.7616
0.6667 0.3333 0.5000
0.3333 0.6667 0.5000
```

## Properties
- M_tot (μB per cell) = 0.0
- E (eV per formula unit) = -42.870